First-principles (PBE) data for a relaxed Sm2Y17 crystal, as listed in Alexandria via LeMat-Bulk.

Summary:
* ΔE_f: 526.2 kJ/mol of formula units
* symmetry: R-3m
* total magnetic moment: 0.0 μB/f.u.
* calculated total energy: -5.993 eV per atom
* volume: 34.294 Å³/atom

Cell lengths 8.7946, 8.7946, 8.7946 Å; angles 79.84, 79.84, 79.84 degrees
Closest atoms and distances in Å follow each position.
Sites, in units of the cell vectors:
Sm (0.6761, 0.6761, 0.6761)  16 Y 3.98-4.29
Sm (0.3239, 0.3239, 0.3239)  16 Y 3.98-4.29
Y (0.3690, 0.3690, 0.8506)  6 Y 3.31-3.36
Y (0.3690, 0.8506, 0.3690)  6 Y 3.31-3.36
Y (0.0978, 0.0978, 0.0978)  13 Y 3.47-3.80
Y (0.9022, 0.9022, 0.9022)  13 Y 3.47-3.80
Y (0.0000, 0.0000, 0.5000)  10 Y 3.36-3.48
Y (0.5000, 0.0000, 0.0000)  10 Y 3.36-3.48
Y (0.0000, 0.5000, 0.0000)  10 Y 3.36-3.48
Y (0.2986, 0.7014, 0.0000)  6 Y 3.33-3.42
Y (0.0000, 0.2986, 0.7014)  6 Y 3.33-3.42
Y (0.7014, 0.0000, 0.2986)  6 Y 3.33-3.42
Y (0.7014, 0.2986, 0.0000)  6 Y 3.33-3.42
Y (0.0000, 0.7014, 0.2986)  6 Y 3.33-3.42
Y (0.2986, 0.0000, 0.7014)  6 Y 3.33-3.42
Y (0.6310, 0.1494, 0.6310)  6 Y 3.31-3.36
Y (0.6310, 0.6310, 0.1494)  6 Y 3.31-3.36
Y (0.1494, 0.6310, 0.6310)  6 Y 3.31-3.36
Y (0.8506, 0.3690, 0.3690)  6 Y 3.31-3.36